Record 1
{"formula": "Ac7Pm2Dy2", "functional": "PBE", "state": "relaxed", "cell": [[6.669, 0.035, 0.799], [0.512, 8.305, 1.707], [-0.258, 0.214, 8.488]], "species": ["Ac", "Ac", "Ac", "Ac", "Ac", "Ac", "Ac", "Dy", "Dy", "Pm", "Pm"], "fractional_positions": [[0.752, 0.435, 0.089], [0.000, 0.000, 0.000], [0.739, 0.549, 0.549], [0.752, 0.089, 0.435], [0.248, 0.911, 0.565], [0.261, 0.451, 0.451], [0.248, 0.565, 0.911], [0.500, 0.826, 0.174], [0.500, 0.174, 0.826], [0.708, 0.799, 0.799], [0.292, 0.201, 0.201]], "delta_e_f_ev_per_atom": 0.251}



Record 2
{"formula": "AcPm6Dy6", "functional": "PBE", "state": "relaxed", "cell": [[-0.404, -2.685, 6.186], [0.160, -4.024, -5.424], [11.506, -0.351, 0.599]], "species": ["Ac", "Pm", "Pm", "Pm", "Pm", "Pm", "Pm", "Dy", "Dy", "Dy", "Dy", "Dy", "Dy"], "fractional_positions": [[0.000, 0.000, 0.000], [0.667, 0.333, 0.500], [0.333, 0.667, 0.500], [0.333, 0.667, 0.000], [0.667, 0.333, 0.000], [0.000, 0.000, 0.647], [0.000, 0.000, 0.353], [0.500, 0.000, 0.751], [0.500, 0.000, 0.249], [0.000, 0.500, 0.249], [0.500, 0.500, 0.249], [0.000, 0.500, 0.751], [0.500, 0.500, 0.751]], "delta_e_f_ev_per_atom": 0.239}



Record 3
{"formula": "Ac12Pm7Dy", "functional": "PBE", "state": "relaxed", "cell": [[9.972, 0.000, -3.526], [-4.986, 8.636, -3.526], [0.000, 0.000, 10.577]], "species": ["Ac", "Ac", "Ac", "Ac", "Ac", "Ac", "Ac", "Ac", "Ac", "Ac", "Ac", "Ac", "Pm", "Pm", "Pm", "Pm", "Pm", "Pm", "Pm", "Dy"], "fractional_positions": [[0.497, 0.286, 0.211], [0.286, 0.211, 0.497], [0.926, 0.714, 0.211], [0.286, 0.789, 0.074], [0.211, 0.497, 0.286], [0.714, 0.211, 0.926], [0.503, 0.714, 0.789], [0.211, 0.926, 0.714], [0.074, 0.286, 0.789], [0.789, 0.503, 0.714], [0.789, 0.074, 0.286], [0.714, 0.789, 0.503], [0.500, 0.000, 0.500], [0.500, 0.000, 0.000], [0.000, 0.500, 0.500], [0.000, 0.500, 0.000], [0.500, 0.500, 0.500], [0.500, 0.500, 0.000], [0.000, 0.000, 0.500], [0.000, 0.000, 0.000]], "delta_e_f_ev_per_atom": 0.637}



Record 4
{"formula": "Ac8Pm3Dy2", "functional": "PBE", "state": "relaxed", "cell": [[6.386, 0.249, 1.312], [2.004, 9.052, 1.573], [0.791, -0.762, 9.340]], "species": ["Ac", "Ac", "Ac", "Ac", "Ac", "Ac", "Ac", "Ac", "Pm", "Pm", "Pm", "Dy", "Dy"], "fractional_positions": [[0.795, 0.437, 0.437], [0.205, 0.563, 0.563], [0.653, 0.082, 0.596], [0.347, 0.918, 0.404], [0.653, 0.596, 0.082], [0.347, 0.404, 0.918], [0.079, 0.854, 0.854], [0.921, 0.146, 0.146], [0.000, 0.258, 0.742], [0.000, 0.742, 0.258], [0.500, 0.000, 0.000], [0.642, 0.702, 0.702], [0.358, 0.298, 0.298]], "delta_e_f_ev_per_atom": 0.186}



Record 5
{"formula": "Ac2Pm5Dy6", "functional": "PBE", "state": "relaxed", "cell": [[3.670, 0.000, 0.000], [0.000, 12.001, 0.000], [0.000, 0.000, 20.659]], "species": ["Dy", "Dy", "Dy", "Dy", "Dy", "Dy", "Dy", "Dy", "Dy", "Dy", "Dy", "Dy", "Ac", "Ac", "Ac", "Ac", "Pm", "Pm", "Pm", "Pm", "Pm", "Pm", "Pm", "Pm", "Pm", "Pm"], "fractional_positions": [[0.000, 0.928, 0.639], [0.000, 0.072, 0.361], [0.000, 0.061, 0.074], [0.000, 0.572, 0.139], [0.500, 0.683, 0.880], [0.000, 0.439, 0.574], [0.000, 0.428, 0.861], [0.000, 0.561, 0.426], [0.500, 0.817, 0.380], [0.000, 0.939, 0.926], [0.500, 0.317, 0.120], [0.500, 0.183, 0.620], [0.000, 0.834, 0.223], [0.000, 0.666, 0.723], [0.000, 0.334, 0.277], [0.000, 0.166, 0.777], [0.500, 0.799, 0.053], [0.500, 0.594, 0.284], [0.500, 0.500, 0.000], [0.500, 0.094, 0.216], [0.500, 0.906, 0.784], [0.500, 0.299, 0.447], [0.500, 0.701, 0.553], [0.500, 0.406, 0.716], [0.500, 0.000, 0.500], [0.500, 0.201, 0.947]], "delta_e_f_ev_per_atom": 0.108}



Record 6
{"formula": "Ac7PmDy2", "functional": "PBE", "state": "relaxed", "cell": [[-5.435, -1.566, -2.339], [-1.307, -6.271, 7.234], [-4.385, 3.398, 7.912]], "species": ["Ac", "Ac", "Ac", "Ac", "Ac", "Ac", "Ac", "Dy", "Dy", "Pm"], "fractional_positions": [[0.500, 0.061, 0.690], [0.000, 0.758, 0.758], [0.500, 0.310, 0.939], [0.000, 0.242, 0.242], [0.500, 0.690, 0.061], [0.500, 0.939, 0.310], [0.500, 0.500, 0.500], [0.500, 0.701, 0.701], [0.500, 0.299, 0.299], [0.000, 0.000, 0.000]], "delta_e_f_ev_per_atom": 0.621}



Record 7
{"formula": "AcPm3Dy8", "functional": "PBE", "state": "relaxed", "cell": [[8.119, -1.401, -2.353], [-5.823, 6.182, -1.137], [1.051, 1.408, 8.397]], "species": ["Dy", "Dy", "Dy", "Dy", "Dy", "Dy", "Dy", "Dy", "Pm", "Pm", "Pm", "Ac"], "fractional_positions": [[0.499, 0.669, 0.829], [0.828, 0.744, 0.578], [0.503, 0.168, 0.334], [0.834, 0.168, 0.666], [0.166, 0.744, 0.916], [0.166, 0.250, 0.422], [0.840, 0.670, 0.171], [0.828, 0.250, 0.084], [0.504, 0.252, 0.748], [0.165, 0.665, 0.500], [0.504, 0.757, 0.252], [0.163, 0.163, 0.000]], "delta_e_f_ev_per_atom": 0.033}



Record 8
{"formula": "Ac2Pm6Dy", "functional": "PBE", "state": "relaxed", "cell": [[-4.302, -8.250, -0.545], [4.699, -6.233, -5.022], [3.942, -6.660, 5.194]], "species": ["Ac", "Ac", "Ac", "Ac", "Pm", "Pm", "Pm", "Pm", "Pm", "Pm", "Pm", "Pm", "Pm", "Pm", "Pm", "Pm", "Dy", "Dy"], "fractional_positions": [[0.518, 0.819, 0.670], [0.330, 0.681, 0.482], [0.482, 0.181, 0.330], [0.670, 0.319, 0.518], [0.593, 0.580, 0.078], [0.328, 0.018, 0.147], [0.672, 0.982, 0.853], [0.000, 0.663, 0.836], [0.164, 0.837, 0.000], [0.000, 0.337, 0.164], [0.853, 0.482, 0.672], [0.407, 0.420, 0.922], [0.922, 0.920, 0.407], [0.147, 0.518, 0.328], [0.078, 0.080, 0.593], [0.836, 0.163, 0.000], [0.241, 0.250, 0.759], [0.759, 0.750, 0.241]], "delta_e_f_ev_per_atom": 0.091}



Record 9
{"formula": "Ac6PmDy2", "functional": "PBE", "state": "relaxed", "cell": [[-2.300, -3.991, 6.248], [1.406, -8.518, -4.887], [9.454, -2.016, 2.229]], "species": ["Ac", "Ac", "Ac", "Ac", "Ac", "Ac", "Ac", "Ac", "Ac", "Ac", "Ac", "Ac", "Dy", "Dy", "Dy", "Dy", "Pm", "Pm"], "fractional_positions": [[0.613, 0.112, 0.655], [0.871, 0.393, 0.402], [0.887, 0.345, 0.888], [0.113, 0.655, 0.112], [0.876, 0.899, 0.392], [0.387, 0.888, 0.345], [0.371, 0.402, 0.393], [0.129, 0.607, 0.598], [0.624, 0.608, 0.101], [0.124, 0.101, 0.608], [0.376, 0.392, 0.899], [0.629, 0.598, 0.607], [0.892, 0.804, 0.794], [0.608, 0.206, 0.196], [0.392, 0.794, 0.804], [0.108, 0.196, 0.206], [0.750, 0.969, 0.031], [0.250, 0.031, 0.969]], "delta_e_f_ev_per_atom": 0.164}



Record 10
{"formula": "Ac3PmDy2", "functional": "PBE", "state": "relaxed", "cell": [[-5.104, 0.227, -5.560], [5.595, -3.473, -0.150], [-8.424, -5.517, 7.509]], "species": ["Pm", "Pm", "Ac", "Ac", "Ac", "Ac", "Ac", "Ac", "Dy", "Dy", "Dy", "Dy"], "fractional_positions": [[0.874, 0.000, 0.750], [0.126, 0.000, 0.250], [0.292, 0.334, 0.584], [0.375, 0.000, 0.750], [0.708, 0.666, 0.416], [0.958, 0.666, 0.916], [0.042, 0.334, 0.084], [0.625, 0.000, 0.250], [0.458, 0.668, 0.918], [0.791, 0.332, 0.582], [0.542, 0.332, 0.082], [0.209, 0.668, 0.418]], "delta_e_f_ev_per_atom": 0.069}



Record 11
{"formula": "AcPm5Dy4", "functional": "PBE", "state": "relaxed", "cell": [[-0.897, 3.236, 1.461], [-3.252, -0.143, -1.678], [-9.925, -11.894, 20.250]], "species": ["Dy", "Dy", "Dy", "Dy", "Pm", "Pm", "Pm", "Pm", "Pm", "Ac"], "fractional_positions": [[0.000, 0.000, 0.207], [0.000, 0.000, 0.598], [0.000, 0.000, 0.402], [0.000, 0.000, 0.793], [0.500, 0.500, 0.891], [0.500, 0.500, 0.305], [0.500, 0.500, 0.500], [0.500, 0.500, 0.695], [0.500, 0.500, 0.109], [0.000, 0.000, 0.000]], "delta_e_f_ev_per_atom": 0.030}



Record 12
{"formula": "Ac8PmDy2", "functional": "PBE", "state": "relaxed", "cell": [[6.114, -0.178, 1.185], [1.622, 8.916, 0.816], [-0.242, 0.033, 9.096]], "species": ["Pm", "Ac", "Ac", "Ac", "Ac", "Ac", "Ac", "Ac", "Ac", "Dy", "Dy"], "fractional_positions": [[0.000, 0.000, 0.000], [0.810, 0.143, 0.635], [0.707, 0.580, 0.580], [0.505, 0.857, 0.857], [0.190, 0.857, 0.365], [0.190, 0.365, 0.857], [0.293, 0.420, 0.420], [0.810, 0.635, 0.143], [0.495, 0.143, 0.143], [0.920, 0.261, 0.261], [0.080, 0.739, 0.739]], "delta_e_f_ev_per_atom": 0.357}



Record 13
{"formula": "Ac2Pm4Dy5", "functional": "PBE", "state": "relaxed", "cell": [[0.176, 2.114, 2.951], [-8.752, -4.626, -2.867], [1.600, -15.135, -0.488]], "species": ["Pm", "Pm", "Pm", "Pm", "Ac", "Ac", "Dy", "Dy", "Dy", "Dy", "Dy"], "fractional_positions": [[0.743, 0.642, 0.112], [0.966, 0.194, 0.471], [0.034, 0.806, 0.529], [0.257, 0.358, 0.888], [0.156, 0.749, 0.813], [0.844, 0.251, 0.187], [0.732, 0.541, 0.367], [0.500, 0.000, 0.000], [0.268, 0.459, 0.633], [0.960, 0.100, 0.724], [0.040, 0.900, 0.276]], "delta_e_f_ev_per_atom": 0.060}



Record 14
{"formula": "Ac8Pm2Dy", "functional": "PBE", "state": "relaxed", "cell": [[0.149, -3.989, -3.858], [-2.358, -5.864, 5.972], [-8.505, 5.380, -1.897]], "species": ["Ac", "Ac", "Ac", "Ac", "Ac", "Ac", "Ac", "Ac", "Pm", "Pm", "Dy"], "fractional_positions": [[0.138, 0.188, 0.275], [0.953, 0.270, 0.906], [0.047, 0.730, 0.094], [0.862, 0.812, 0.725], [0.319, 0.086, 0.637], [0.681, 0.914, 0.363], [0.593, 0.451, 0.186], [0.407, 0.549, 0.814], [0.774, 0.367, 0.548], [0.226, 0.633, 0.452], [0.500, 0.000, 0.000]], "delta_e_f_ev_per_atom": 0.040}



Record 15
{"formula": "Ac2PmDy6", "functional": "PBE", "state": "relaxed", "cell": [[4.940, -0.467, -2.563], [-0.884, 8.154, -3.224], [-1.471, -1.152, 9.551]], "species": ["Dy", "Dy", "Dy", "Dy", "Dy", "Dy", "Ac", "Ac", "Pm"], "fractional_positions": [[0.264, 0.450, 0.265], [0.502, 0.704, 0.000], [0.267, 0.815, 0.266], [0.733, 0.185, 0.734], [0.498, 0.296, 0.000], [0.736, 0.550, 0.735], [0.068, 0.784, 0.568], [0.932, 0.216, 0.432], [0.000, 0.000, 0.000]], "delta_e_f_ev_per_atom": 0.245}



Record 16
{"formula": "Ac3Pm2Dy", "functional": "PBE", "state": "relaxed", "cell": [[-1.684, 2.440, 6.511], [-8.773, -1.582, -3.034], [-0.895, -6.421, 3.024]], "species": ["Ac", "Ac", "Ac", "Ac", "Ac", "Ac", "Pm", "Pm", "Pm", "Pm", "Dy", "Dy"], "fractional_positions": [[0.294, 0.478, 0.868], [0.868, 0.022, 0.294], [0.132, 0.978, 0.706], [0.446, 0.750, 0.446], [0.706, 0.522, 0.132], [0.554, 0.250, 0.554], [0.616, 0.881, 0.885], [0.115, 0.381, 0.384], [0.885, 0.619, 0.616], [0.384, 0.119, 0.115], [0.878, 0.250, 0.878], [0.122, 0.750, 0.122]], "delta_e_f_ev_per_atom": 0.119}



Record 17
{"formula": "AcPm2Dy5", "functional": "PBE", "state": "relaxed", "cell": [[-2.405, -0.646, 4.478], [-3.375, -5.839, -2.655], [10.888, -8.401, 4.635]], "species": ["Dy", "Dy", "Dy", "Dy", "Dy", "Dy", "Dy", "Dy", "Dy", "Dy", "Pm", "Pm", "Pm", "Pm", "Ac", "Ac"], "fractional_positions": [[0.500, 0.750, 0.128], [0.500, 0.250, 0.872], [0.000, 0.997, 0.247], [0.000, 0.497, 0.253], [0.500, 0.250, 0.372], [0.000, 0.003, 0.753], [0.000, 0.000, 0.000], [0.000, 0.500, 0.500], [0.000, 0.503, 0.747], [0.500, 0.750, 0.628], [0.500, 0.756, 0.872], [0.500, 0.256, 0.628], [0.500, 0.244, 0.128], [0.500, 0.744, 0.372], [0.000, 0.000, 0.500], [0.000, 0.500, 0.000]], "delta_e_f_ev_per_atom": 0.035}



Record 18
{"formula": "AcPmDy2", "functional": "PBE", "state": "relaxed", "cell": [[-3.637, -1.462, 3.293], [3.272, -3.549, 2.038], [1.701, 3.553, 3.456]], "species": ["Dy", "Dy", "Ac", "Pm"], "fractional_positions": [[0.000, 0.000, 0.500], [0.000, 0.500, 0.000], [0.500, 0.000, 0.000], [0.500, 0.500, 0.500]], "delta_e_f_ev_per_atom": 0.047}



Record 19
{"formula": "AcPm3Dy12", "functional": "PBE", "state": "relaxed", "cell": [[5.073, 0.000, 0.000], [0.000, 5.073, 0.000], [0.000, 0.000, 20.325]], "species": ["Dy", "Dy", "Dy", "Dy", "Dy", "Dy", "Dy", "Dy", "Dy", "Dy", "Dy", "Dy", "Pm", "Pm", "Pm", "Ac"], "fractional_positions": [[0.500, 0.500, 0.500], [0.000, 0.500, 0.130], [0.500, 0.000, 0.870], [0.000, 0.500, 0.870], [0.500, 0.000, 0.624], [0.500, 0.000, 0.130], [0.500, 0.500, 0.253], [0.000, 0.500, 0.624], [0.500, 0.500, 0.000], [0.000, 0.500, 0.376], [0.500, 0.000, 0.376], [0.500, 0.500, 0.747], [0.000, 0.000, 0.500], [0.000, 0.000, 0.748], [0.000, 0.000, 0.252], [0.000, 0.000, 0.000]], "delta_e_f_ev_per_atom": 0.030}